## Pm3NdCd (PBE-GGA)

Data for a geometry-optimized Pm3NdCd structure.

Cell lengths 3.818, 9.506, 9.720 Å; angles 90.00, 90.00, 101.57 degrees
Sites, in units of the cell vectors:
Pm (0.102, 0.703, 0.008)
Pm (0.296, 0.092, 0.250)
Pm (0.102, 0.703, 0.492)
Pm (0.898, 0.297, 0.508)
Pm (0.704, 0.908, 0.750)
Pm (0.898, 0.297, 0.992)
Nd (0.484, 0.471, 0.250)
Nd (0.516, 0.529, 0.750)
Cd (0.664, 0.826, 0.250)
Cd (0.336, 0.174, 0.750)

Theoretical density, g cm⁻³: 6.65
DFT formation energy, eV per atom: 0.049
N(E_F), states/eV/atom: 1.251

## PtC3F (PBE-GGA)

Data for a geometry-optimized PtC3F structure.

Cell lengths 4.000, 4.000, 4.000 Å; angles 90.00, 90.00, 90.00 degrees
Last column: magnetic moment on the atom in μB.
Sites, in units of the cell vectors:
F (0.500, 0.500, 0.500)  0.07
C (0.500, 0.000, 0.000)  0.24
C (0.000, 0.000, 0.500)  0.83
C (0.000, 0.500, 0.000)  0.56
Pt (0.000, 0.000, 0.000)  0.02

Uncorrected energy, Ry per atom: -0.3559
Theoretical density, g cm⁻³: 6.49
N(E_F), states/eV/atom: 0.588

## Pm2PrN3 (PBE-GGA)

Data for a geometry-optimized Pm2PrN3 structure.

Cell lengths 3.464, 6.656, 12.955 Å; angles 90.00, 90.00, 105.08 degrees
Sites, in units of the cell vectors:
Pm (0.395, 0.791, 0.250)
Pm (0.605, 0.209, 0.750)
Pm (0.000, 0.000, 0.500)
Pm (0.000, 0.000, 0.000)
N (0.466, 0.931, 0.626)
N (0.534, 0.069, 0.126)
N (0.777, 0.554, 0.250)
N (0.534, 0.069, 0.374)
N (0.466, 0.931, 0.874)
N (0.223, 0.446, 0.750)
Pr (0.871, 0.742, 0.750)
Pr (0.129, 0.258, 0.250)

Uncorrected energy, Ry per atom: -0.5497
Theoretical density, g cm⁻³: 5.45
N(E_F), states/eV/atom: 0.094

## Ba5SrPt4 (PBE-GGA)

Data for a geometry-optimized Ba5SrPt4 structure.

Cell lengths 4.583, 9.009, 10.143 Å; angles 103.70, 103.06, 90.00 degrees
Sites, in units of the cell vectors:
Ba (0.160, 0.321, 0.319)
Ba (0.165, 0.853, 0.330)
Ba (0.500, 0.500, 0.000)
Ba (0.835, 0.147, 0.670)
Ba (0.840, 0.679, 0.681)
Sr (0.500, 0.000, 0.000)
Pt (0.001, 0.751, 0.002)
Pt (0.668, 0.094, 0.335)
Pt (0.332, 0.906, 0.665)
Pt (0.999, 0.249, 0.998)

Theoretical density, g cm⁻³: 6.52
DFT formation energy, eV per atom: -0.645
N(E_F), states/eV/atom: 0.579